Here is RbLiIn2Pd after structural relaxation from Alexandria via LeMat-Bulk. Energies are from PBE.

Computed properties:
Space group = P4/mmm (123)
DOS at the Fermi energy = 2.37 states/eV per cell
ΔE_f = -20 kJ per mole of atoms
Raw total energy = -2.923 eV/atom

Cell: 5.236 5.236 5.377 Å, 90.00 90.00 90.00°
Atoms (fractional coordinates):
1 Pd 0.000 0.000 0.000
2 Rb 0.500 0.500 0.500
3 In 0.000 0.500 0.000
4 In 0.500 0.000 0.000
5 Li 0.000 0.000 0.500